No. 1
VASP calculation (GGA-PBE) on a geometry-optimized SmGa4IrPt2 structure.

a = 9.159 Å, b = 9.159 Å, c = 9.159 Å
α = 27.10°, β = 27.10°, γ = 27.10°
Fractional coordinates of all 8 atoms:
Sm 0.000 0.000 0.000
Ga 0.133 0.133 0.133
Ga 0.399 0.399 0.399
Ga 0.601 0.601 0.601
Ga 0.867 0.867 0.867
Ir 0.500 0.500 0.500
Pt 0.237 0.237 0.237
Pt 0.763 0.763 0.763

Crystal system = trigonal
Spin magnetization = 0.000 μB/cell
Symmetry = R-3m
Volume = 17.58 Å³/atom
Formation energy from the elements = -646 meV per atom
DFT total energy = -5.368 eV/atom

No. 2
VASP calculation (GGA-PBE) on a geometry-optimized SmGa2Ir2Pt structure.

a = 4.673 Å, b = 4.673 Å, c = 5.511 Å
α = 90.00°, β = 90.00°, γ = 90.00°
Fractional coordinates of all 6 atoms:
Sm 0.000 0.000 0.000
Ga 0.000 0.500 0.500
Ga 0.500 0.000 0.500
Ir 0.500 0.500 0.231
Ir 0.500 0.500 0.769
Pt 0.000 0.000 0.500

Crystal system = tetragonal
Spin magnetization = 0.356 μB/cell
Symmetry = P4/mmm
Volume = 20.06 Å³/atom
Formation energy from the elements = -185 meV per atom
DFT total energy = -5.941 eV/atom

No. 3
VASP calculation (GGA-PBE) on a geometry-optimized SmGa5Ir2Pt structure.

a = 4.320 Å, b = 4.320 Å, c = 10.023 Å
α = 90.00°, β = 90.00°, γ = 90.00°
Fractional coordinates of all 9 atoms:
Sm 0.000 0.000 0.000
Ga 0.000 0.500 0.347
Ga 0.000 0.500 0.653
Ga 0.500 0.000 0.347
Ga 0.500 0.000 0.653
Ga 0.500 0.500 0.000
Ir 0.500 0.500 0.231
Ir 0.500 0.500 0.769
Pt 0.000 0.000 0.500

Crystal system = tetragonal
Spin magnetization = 0.000 μB/cell
Symmetry = P4/mmm
Volume = 20.79 Å³/atom
Formation energy from the elements = -374 meV per atom
DFT total energy = -5.221 eV/atom

No. 4
VASP calculation (GGA-PBE) on a geometry-optimized Sm2Ga4IrPt3 structure.

a = 4.230 Å, b = 4.230 Å, c = 10.598 Å
α = 90.00°, β = 90.00°, γ = 90.00°
Fractional coordinates of all 10 atoms:
Sm 0.000 0.500 0.245
Sm 0.500 0.000 0.755
Ga 0.000 0.000 0.500
Ga 0.000 0.500 0.870
Ga 0.500 0.000 0.130
Ga 0.500 0.500 0.500
Ir 0.500 0.500 0.000
Pt 0.000 0.000 0.000
Pt 0.000 0.500 0.635
Pt 0.500 0.000 0.365

Crystal system = tetragonal
Spin magnetization = 0.000 μB/cell
Symmetry = P-4m2
Volume = 18.96 Å³/atom
Formation energy from the elements = -919 meV per atom
DFT total energy = -5.772 eV/atom

No. 5
VASP calculation (GGA-PBE) on a geometry-optimized Sm2Ga4Ir3Pt structure.

a = 4.220 Å, b = 4.220 Å, c = 10.521 Å
α = 90.00°, β = 90.00°, γ = 90.00°
Fractional coordinates of all 10 atoms:
Sm 0.000 0.500 0.246
Sm 0.500 0.000 0.754
Ga 0.000 0.000 0.500
Ga 0.000 0.500 0.869
Ga 0.500 0.000 0.131
Ga 0.500 0.500 0.500
Ir 0.000 0.000 0.000
Ir 0.000 0.500 0.634
Ir 0.500 0.000 0.366
Pt 0.500 0.500 0.000

Crystal system = tetragonal
Spin magnetization = 0.000 μB/cell
Symmetry = P-4m2
Volume = 18.74 Å³/atom
Formation energy from the elements = -771 meV per atom
DFT total energy = -6.188 eV/atom

No. 6
VASP calculation (GGA-PBE) on a geometry-optimized Sr3Ga4Ir2Pt2 structure.

a = 4.329 Å, b = 4.329 Å, c = 15.917 Å
α = 90.00°, β = 90.00°, γ = 120.00°
Fractional coordinates of all 11 atoms:
Sr 0.000 0.000 0.000
Sr 0.000 0.000 0.285
Sr 0.000 0.000 0.715
Ga 0.333 0.667 0.431
Ga 0.333 0.667 0.856
Ga 0.667 0.333 0.144
Ga 0.667 0.333 0.569
Ir 0.333 0.667 0.589
Ir 0.667 0.333 0.411
Pt 0.333 0.667 0.136
Pt 0.667 0.333 0.864

Crystal system = trigonal
Spin magnetization = 0.000 μB/cell
Symmetry = P-3m1
Volume = 23.48 Å³/atom
Formation energy from the elements = -561 meV per atom
DFT total energy = -4.830 eV/atom

No. 7
VASP calculation (GGA-PBE) on a geometry-optimized TbGa4IrPt2 structure.

a = 9.029 Å, b = 9.029 Å, c = 9.029 Å
α = 27.47°, β = 27.47°, γ = 27.47°
Fractional coordinates of all 8 atoms:
Tb 0.000 0.000 0.000
Ga 0.133 0.133 0.133
Ga 0.397 0.397 0.397
Ga 0.603 0.603 0.603
Ga 0.867 0.867 0.867
Ir 0.500 0.500 0.500
Pt 0.240 0.240 0.240
Pt 0.760 0.760 0.760

Crystal system = trigonal
Spin magnetization = 0.000 μB/cell
Symmetry = R-3m
Volume = 17.28 Å³/atom
Formation energy from the elements = -635 meV per atom
DFT total energy = -5.345 eV/atom

No. 8
VASP calculation (GGA-PBE) on a geometry-optimized TbGa4Ir2Pt structure.

a = 8.916 Å, b = 8.916 Å, c = 8.916 Å
α = 27.82°, β = 27.82°, γ = 27.82°
Fractional coordinates of all 8 atoms:
Tb 0.000 0.000 0.000
Ga 0.128 0.128 0.128
Ga 0.396 0.396 0.396
Ga 0.604 0.604 0.604
Ga 0.872 0.872 0.872
Ir 0.235 0.235 0.235
Ir 0.765 0.765 0.765
Pt 0.500 0.500 0.500

Crystal system = trigonal
Spin magnetization = 0.000 μB/cell
Symmetry = R-3m
Volume = 17.04 Å³/atom
Formation energy from the elements = -552 meV per atom
DFT total energy = -5.615 eV/atom

No. 9
VASP calculation (GGA-PBE) on a geometry-optimized Tb2Ga3IrPt4 structure.

a = 4.033 Å, b = 4.033 Å, c = 11.465 Å
α = 90.00°, β = 90.00°, γ = 90.00°
Fractional coordinates of all 10 atoms:
Tb 0.000 0.500 0.240
Tb 0.500 0.000 0.760
Ga 0.000 0.000 0.000
Ga 0.000 0.500 0.633
Ga 0.500 0.000 0.367
Ir 0.500 0.500 0.000
Pt 0.000 0.000 0.500
Pt 0.000 0.500 0.845
Pt 0.500 0.000 0.155
Pt 0.500 0.500 0.500

Crystal system = tetragonal
Spin magnetization = 0.000 μB/cell
Symmetry = P-4m2
Volume = 18.65 Å³/atom
Formation energy from the elements = -831 meV per atom
DFT total energy = -5.967 eV/atom

No. 10
VASP calculation (GGA-PBE) on a geometry-optimized TbGa3IrPt structure.

a = 6.811 Å, b = 6.811 Å, c = 5.461 Å
α = 90.00°, β = 90.00°, γ = 105.30°
Fractional coordinates of all 12 atoms:
Tb 0.193 0.807 0.750
Tb 0.807 0.193 0.250
Ga 0.239 0.239 0.000
Ga 0.239 0.239 0.500
Ga 0.317 0.683 0.250
Ga 0.683 0.317 0.750
Ga 0.761 0.761 0.000
Ga 0.761 0.761 0.500
Ir 0.089 0.911 0.250
Ir 0.911 0.089 0.750
Pt 0.447 0.553 0.750
Pt 0.553 0.447 0.250

Crystal system = orthorhombic
Spin magnetization = 0.000 μB/cell
Symmetry = Cmcm
Volume = 20.36 Å³/atom
Formation energy from the elements = -494 meV per atom
DFT total energy = -5.263 eV/atom

No. 11
VASP calculation (GGA-PBE) on a geometry-optimized Th2Ga3Ir4Pt structure.

a = 4.149 Å, b = 4.149 Å, c = 11.022 Å
α = 90.00°, β = 90.00°, γ = 90.00°
Fractional coordinates of all 10 atoms:
Th 0.000 0.500 0.249
Th 0.500 0.000 0.751
Ga 0.000 0.000 0.000
Ga 0.000 0.500 0.624
Ga 0.500 0.000 0.376
Ir 0.000 0.000 0.500
Ir 0.000 0.500 0.845
Ir 0.500 0.000 0.155
Ir 0.500 0.500 0.500
Pt 0.500 0.500 0.000

Crystal system = tetragonal
Spin magnetization = 0.000 μB/cell
Symmetry = P-4m2
Volume = 18.97 Å³/atom
Formation energy from the elements = -701 meV per atom
DFT total energy = -7.241 eV/atom

No. 12
VASP calculation (GGA-PBE) on a geometry-optimized ThGa3IrPt structure.

a = 6.138 Å, b = 6.138 Å, c = 8.109 Å
α = 90.00°, β = 90.00°, γ = 122.05°
Fractional coordinates of all 12 atoms:
Th 0.240 0.760 0.750
Th 0.760 0.240 0.250
Ga 0.247 0.247 0.000
Ga 0.247 0.247 0.500
Ga 0.252 0.748 0.250
Ga 0.748 0.252 0.750
Ga 0.753 0.753 0.000
Ga 0.753 0.753 0.500
Ir 0.024 0.976 0.250
Ir 0.976 0.024 0.750
Pt 0.484 0.516 0.250
Pt 0.516 0.484 0.750

Crystal system = orthorhombic
Spin magnetization = 0.000 μB/cell
Symmetry = Cmcm
Volume = 21.58 Å³/atom
Formation energy from the elements = -394 meV per atom
DFT total energy = -5.627 eV/atom

No. 13
VASP calculation (GGA-PBE) on a geometry-optimized Tm2Ga4Ir3Pt structure.

a = 4.132 Å, b = 4.132 Å, c = 10.611 Å
α = 90.00°, β = 90.00°, γ = 90.00°
Fractional coordinates of all 10 atoms:
Tm 0.000 0.500 0.246
Tm 0.500 0.000 0.754
Ga 0.000 0.000 0.500
Ga 0.000 0.500 0.867
Ga 0.500 0.000 0.133
Ga 0.500 0.500 0.500
Ir 0.000 0.000 0.000
Ir 0.000 0.500 0.638
Ir 0.500 0.000 0.362
Pt 0.500 0.500 0.000

Crystal system = tetragonal
Spin magnetization = 0.000 μB/cell
Symmetry = P-4m2
Volume = 18.12 Å³/atom
Formation energy from the elements = -746 meV per atom
DFT total energy = -6.113 eV/atom

No. 14
VASP calculation (GGA-PBE) on a geometry-optimized TmGaIrPt structure.

a = 4.606 Å, b = 4.606 Å, c = 4.606 Å
α = 60.00°, β = 60.00°, γ = 60.00°
Fractional coordinates of all 4 atoms:
Tm 0.000 0.000 0.000
Ga 0.500 0.500 0.500
Ir 0.750 0.750 0.750
Pt 0.250 0.250 0.250

Crystal system = cubic
Spin magnetization = 0.000 μB/cell
Symmetry = F-43m
Volume = 17.27 Å³/atom
Formation energy from the elements = -740 meV per atom
DFT total energy = -6.340 eV/atom

No. 15
VASP calculation (GGA-PBE) on a geometry-optimized Tm2Ga4IrPt3 structure.

a = 4.101 Å, b = 4.101 Å, c = 10.904 Å
α = 90.00°, β = 90.00°, γ = 90.00°
Fractional coordinates of all 10 atoms:
Tm 0.000 0.500 0.238
Tm 0.500 0.000 0.762
Ga 0.000 0.000 0.500
Ga 0.000 0.500 0.868
Ga 0.500 0.000 0.132
Ga 0.500 0.500 0.500
Ir 0.500 0.500 0.000
Pt 0.000 0.000 0.000
Pt 0.000 0.500 0.642
Pt 0.500 0.000 0.358

Crystal system = tetragonal
Spin magnetization = 0.000 μB/cell
Symmetry = P-4m2
Volume = 18.34 Å³/atom
Formation energy from the elements = -885 meV per atom
DFT total energy = -5.689 eV/atom

No. 16
VASP calculation (GGA-PBE) on a geometry-optimized VGaIr2Pt structure.

a = 4.523 Å, b = 4.523 Å, c = 4.708 Å
α = 90.00°, β = 90.00°, γ = 90.00°
Fractional coordinates of all 5 atoms:
V 0.000 0.000 0.000
Ga 0.500 0.500 0.500
Ir 0.000 0.500 0.000
Ir 0.500 0.000 0.000
Pt 0.000 0.000 0.500

Crystal system = tetragonal
Spin magnetization = 0.000 μB/cell
Symmetry = P4/mmm
Volume = 19.26 Å³/atom
Formation energy from the elements = 969 meV per atom
DFT total energy = -6.212 eV/atom

No. 17
VASP calculation (GGA-PBE) on a geometry-optimized YGaIrPt2 structure.

a = 4.979 Å, b = 4.979 Å, c = 5.051 Å
α = 90.00°, β = 90.00°, γ = 90.00°
Fractional coordinates of all 5 atoms:
Y 0.000 0.000 0.000
Ga 0.500 0.500 0.000
Ir 0.000 0.000 0.500
Pt 0.000 0.500 0.500
Pt 0.500 0.000 0.500

Crystal system = tetragonal
Spin magnetization = 0.158 μB/cell
Symmetry = P4/mmm
Volume = 25.04 Å³/atom
Formation energy from the elements = 399 meV per atom
DFT total energy = -5.688 eV/atom

No. 18
VASP calculation (GGA-PBE) on a geometry-optimized Y2Ga4IrPt3 structure.

a = 4.164 Å, b = 4.164 Å, c = 10.735 Å
α = 90.00°, β = 90.00°, γ = 90.00°
Fractional coordinates of all 10 atoms:
Y 0.000 0.500 0.241
Y 0.500 0.000 0.759
Ga 0.000 0.000 0.500
Ga 0.000 0.500 0.869
Ga 0.500 0.000 0.131
Ga 0.500 0.500 0.500
Ir 0.500 0.500 0.000
Pt 0.000 0.000 0.000
Pt 0.000 0.500 0.639
Pt 0.500 0.000 0.361

Crystal system = tetragonal
Spin magnetization = 0.000 μB/cell
Symmetry = P-4m2
Volume = 18.62 Å³/atom
Formation energy from the elements = -911 meV per atom
DFT total energy = -6.112 eV/atom

No. 19
VASP calculation (GGA-PBE) on a geometry-optimized ZnGaIrPt2 structure.

a = 4.560 Å, b = 4.560 Å, c = 4.389 Å
α = 90.00°, β = 90.00°, γ = 90.00°
Fractional coordinates of all 5 atoms:
Zn 0.000 0.000 0.000
Ga 0.000 0.000 0.500
Ir 0.500 0.500 0.500
Pt 0.000 0.500 0.000
Pt 0.500 0.000 0.000

Crystal system = tetragonal
Excess energy over the best structure of this formula in the dataset = 0.29 eV per formula unit
Spin magnetization = 0.000 μB/cell
Symmetry = P4/mmm
Volume = 18.25 Å³/atom
Formation energy from the elements = 992 meV per atom
DFT total energy = -4.057 eV/atom

No. 20
VASP calculation (GGA-PBE) on a geometry-optimized ZnGaIrPt structure.

a = 3.420 Å, b = 4.082 Å, c = 4.148 Å
α = 90.00°, β = 90.00°, γ = 90.00°
Fractional coordinates of all 4 atoms:
Zn 0.000 0.000 0.000
Ga 0.000 0.500 0.500
Ir 0.500 0.000 0.500
Pt 0.500 0.500 0.000

Crystal system = orthorhombic
Spin magnetization = 0.000 μB/cell
Symmetry = Pmmm
Volume = 14.48 Å³/atom
Formation energy from the elements = -454 meV per atom
DFT total energy = -5.254 eV/atom

No. 21
VASP calculation (GGA-PBE) on a geometry-optimized ZnGaIrPt2 structure.

a = 4.555 Å, b = 4.555 Å, c = 4.438 Å
α = 90.00°, β = 90.00°, γ = 90.00°
Fractional coordinates of all 5 atoms:
Zn 0.000 0.000 0.000
Ga 0.000 0.000 0.500
Ir 0.500 0.500 0.000
Pt 0.000 0.500 0.500
Pt 0.500 0.000 0.500

Crystal system = tetragonal
Excess energy over the best structure of this formula in the dataset = 0.00 eV per formula unit
Spin magnetization = 0.000 μB/cell
Symmetry = P4/mmm
Volume = 18.41 Å³/atom
Formation energy from the elements = 933 meV per atom
DFT total energy = -4.115 eV/atom

No. 22
VASP calculation (GGA-PBE) on a geometry-optimized Pu3Ga3Ir structure.

a = 5.809 Å, b = 5.809 Å, c = 12.758 Å
α = 90.00°, β = 90.00°, γ = 135.66°
Fractional coordinates of all 14 atoms:
Pu 0.027 0.973 0.750
Pu 0.261 0.739 0.094
Pu 0.261 0.739 0.406
Pu 0.739 0.261 0.594
Pu 0.739 0.261 0.906
Pu 0.973 0.027 0.250
Ga 0.300 0.700 0.750
Ga 0.451 0.549 0.595
Ga 0.451 0.549 0.905
Ga 0.549 0.451 0.095
Ga 0.549 0.451 0.405
Ga 0.700 0.300 0.250
Ir 0.000 0.000 0.000
Ir 0.000 0.000 0.500

Crystal system = orthorhombic
Spin magnetization = 11.247 μB/cell
Symmetry = Cmcm
Volume = 21.49 Å³/atom
Formation energy from the elements = -327 meV per atom
DFT total energy = -9.032 eV/atom

No. 23
VASP calculation (GGA-PBE) on a geometry-optimized Pu2Ga12Ir structure.

a = 6.056 Å, b = 6.056 Å, c = 15.678 Å
α = 90.00°, β = 90.00°, γ = 90.00°
Fractional coordinates of all 30 atoms:
Pu 0.250 0.750 0.240
Pu 0.250 0.750 0.760
Pu 0.750 0.250 0.240
Pu 0.750 0.250 0.760
Ga 0.000 0.000 0.089
Ga 0.000 0.000 0.911
Ga 0.000 0.500 0.089
Ga 0.000 0.500 0.911
Ga 0.081 0.581 0.430
Ga 0.081 0.919 0.570
Ga 0.250 0.250 0.191
Ga 0.250 0.250 0.345
Ga 0.250 0.250 0.655
Ga 0.250 0.250 0.809
Ga 0.419 0.581 0.570
Ga 0.419 0.919 0.430
Ga 0.500 0.000 0.089
Ga 0.500 0.000 0.911
Ga 0.500 0.500 0.089
Ga 0.500 0.500 0.911
Ga 0.581 0.081 0.570
Ga 0.581 0.419 0.430
Ga 0.750 0.750 0.191
Ga 0.750 0.750 0.345
Ga 0.750 0.750 0.655
Ga 0.750 0.750 0.809
Ga 0.919 0.081 0.430
Ga 0.919 0.419 0.570
Ir 0.250 0.750 0.000
Ir 0.750 0.250 0.000

Crystal system = tetragonal
Spin magnetization = 21.451 μB/cell
Symmetry = P4/nbm
Volume = 19.17 Å³/atom
Formation energy from the elements = -308 meV per atom
DFT total energy = -5.231 eV/atom